Below is a geometry-optimized LaCIO2 structure, with properties calculated at the PBE level.

Unit cell a=4.230 b=4.230 c=7.405 alpha=90.00 beta=90.00 gamma=90.00
Site moments in Bohr magnetons follow the coordinates.
Positions (direct):
1 I 0.000 0.000 0.500  -0.10
2 C 0.500 0.500 0.500  0.68
3 O 0.000 0.500 0.000  0.00
4 O 0.500 0.000 0.000  0.00
5 La 0.000 0.000 0.000  0.00

Computed properties:
**Electronic total energy**: -25.5 eV for the cell shown

---

Below is a geometry-optimized Ba2LiFe structure, with properties calculated at the PBE level.

Unit cell a=5.652 b=5.652 c=5.652 alpha=60.00 beta=60.00 gamma=60.00
Site moments in Bohr magnetons follow the coordinates.
Positions (direct):
1 Ba 0.000 0.000 0.000  -0.05
2 Ba 0.250 0.250 0.250  -0.01
3 Fe 0.500 0.500 0.500  3.02
4 Li 0.750 0.750 0.750  -0.01

Computed properties:
**Energy relative to the elements**: 242 kJ/mol of formula units
**Electronic total energy**: -11.7 eV for the cell shown

---

Below is a geometry-optimized RbRuBr6 structure, with properties calculated at the PBE level.

Unit cell a=6.671 b=6.671 c=6.689 alpha=78.30 beta=78.30 gamma=101.51
Site moments in Bohr magnetons follow the coordinates.
Positions (direct):
1 Rb 0.500 0.500 0.500  0.00
2 Ru 0.000 0.000 0.000  1.77
3 Br 0.066 0.725 0.274  0.14
4 Br 0.725 0.066 0.274  0.14
5 Br 0.275 0.934 0.726  0.14
6 Br 0.934 0.275 0.726  0.14
7 Br 0.275 0.275 0.064  0.14
8 Br 0.725 0.725 0.936  0.14

Computed properties:
**Electronic total energy**: -24.7 eV for the cell shown